# PBE-GGA DyMg2Au, optimized geometry
data_DyMg2Au
_chemical_formula_sum 'Dy4 Mg8 Au4'
_cell_length_a 6.943
_cell_length_b 6.943
_cell_length_c 6.943
_cell_angle_alpha 90.00
_cell_angle_beta 90.00
_cell_angle_gamma 90.00
_space_group_name_H-M_alt 'F m -3 m'
_space_group_IT_number 225
_space_group_name_Hall '-F 4 2 3'
loop_
_atom_site_label
_atom_site_fract_x
_atom_site_fract_y
_atom_site_fract_z
Dy1 0.000 0.000 0.000
Mg1 0.250 0.250 0.250
Au1 0.000 0.000 0.500
# - Magnetization: 0.0 μB/f.u.
# - Total energy: -3.067 eV per atom